[1]
Here is crystalline EuAlNi4 at its relaxed geometry from Alexandria. Energies are from GGA-PBE.

a = 4.941 Å, b = 4.941 Å, c = 4.941 Å
α = 60.00°, β = 60.00°, γ = 60.00°
Sites, in units of the cell vectors:
Eu1 0.250 0.250 0.250
Ni1 0.627 0.627 0.120
Ni2 0.627 0.120 0.627
Ni3 0.627 0.627 0.627
Ni4 0.120 0.627 0.627
Al1 0.000 0.000 0.000

ΔE_f: -5.61 kcal/mol of atoms

---

[2]
Here is crystalline EuNpAl4 at its relaxed geometry from Alexandria. Energies are from GGA-PBE.

a = 5.605 Å, b = 5.605 Å, c = 5.605 Å
α = 60.00°, β = 60.00°, γ = 60.00°
Sites, in units of the cell vectors:
Np1 0.000 0.000 0.000
Eu1 0.250 0.250 0.250
Al1 0.626 0.626 0.123
Al2 0.626 0.123 0.626
Al3 0.626 0.626 0.626
Al4 0.123 0.626 0.626

ΔE_f: -4.04 kcal/mol of atoms